No. 1
Here is a relaxed Rb3SrLa2S6 crystal from the Alexandria database. Energies are from PBE-GGA. Values from VASP.

Quantum ESPRESSO input file:
```
&SYSTEM
  ibrav = 0, nat = 12, ntyp = 4
/
ATOMIC_SPECIES
Rb 85.47 Rb.upf
Sr 87.62 Sr.upf
La 138.91 La.upf
S 32.06 S.upf
ATOMIC_POSITIONS angstrom
Rb 0.0000 0.0000 0.0000
Rb 3.7752 2.1439 0.0000
Rb 3.7752 -2.1439 0.0000
Sr 2.5169 0.0000 3.8433
La 2.5169 4.3577 3.8433
La 2.5169 -4.3577 3.8433
S 1.2121 2.2595 2.3019
S -0.0904 0.0000 5.3805
S 1.2121 -2.2595 2.3019
S 3.8217 2.2595 5.3847
S 5.1242 0.0000 2.3061
S 3.8217 -2.2595 5.3847
CELL_PARAMETERS angstrom
3.7752 -6.5384 0.0000
3.7752 6.5384 0.0000
-2.5166 0.0000 7.6866
```

DOS at the Fermi energy ... 19.94 states/eV per cell
DFT total energy ... -59.460 eV for the cell shown
Symmetry ... C2/m, No. 12
ΔE_f (raw) ... -1.688 eV per atom



No. 2
Here is a relaxed K2TcBr crystal from the Alexandria database. Energies are from PBE-GGA. Values from VASP.

Quantum ESPRESSO input file:
```
&SYSTEM
  ibrav = 0, nat = 4, ntyp = 3
/
ATOMIC_SPECIES
K 39.10 K.upf
Tc 98.00 Tc.upf
Br 79.90 Br.upf
ATOMIC_POSITIONS angstrom
K 0.0000 0.0000 0.0000
K 0.0000 2.8659 2.5468
Tc 1.7712 0.0000 3.7079
Br 0.0000 0.0000 5.9289
CELL_PARAMETERS angstrom
-1.7712 2.8659 6.4379
1.7712 -2.8659 6.4379
1.7712 2.8659 -6.4379
```

DOS at the Fermi energy ... 3.59 states/eV per cell
DFT total energy ... -12.396 eV for the cell shown
Energy above the lowest structure with this stoichiometry ... 0.1348 eV/atom
Symmetry ... Imm2, No. 44
ΔE_f (raw) ... 0.460 eV per atom



No. 3
Here is a relaxed TaHgTeO5 crystal from the Alexandria database. Energies are from PBE-GGA. Values from VASP.

Quantum ESPRESSO input file:
```
&SYSTEM
  ibrav = 0, nat = 16, ntyp = 4
/
ATOMIC_SPECIES
Ta 180.95 Ta.upf
Hg 200.59 Hg.upf
Te 127.60 Te.upf
O 16.00 O.upf
ATOMIC_POSITIONS angstrom
Ta 0.0000 0.0000 0.0000
Ta -1.8456 0.0000 3.5502
Hg 0.9521 1.7515 5.3253
Hg 2.7978 -1.7515 1.7751
Te 2.7978 1.9933 1.7751
Te 0.9521 -1.9933 5.3253
O 0.9521 4.8188 5.3253
O 1.4215 2.9202 3.1951
O 1.7614 0.6443 0.8330
O 4.1740 2.9202 0.3551
O -0.0842 -0.6443 4.3832
O 3.8341 0.6443 2.7172
O -0.4241 -2.9202 6.7453
O 1.9885 -0.6443 6.2673
O 2.3284 -2.9202 3.9052
O 2.7978 -4.8188 1.7751
CELL_PARAMETERS angstrom
3.7206 -4.8496 0.0000
3.7206 4.8496 0.0000
-3.6912 0.0000 7.1003
```

DOS at the Fermi energy ... 3.48 states/eV per cell
DFT total energy ... -102.819 eV for the cell shown
Symmetry ... C2/c, No. 15
ΔE_f (raw) ... -1.415 eV per atom



No. 4
Here is a relaxed KTlGaCu2 crystal from the Alexandria database. Energies are from PBE-GGA. Values from VASP.

Quantum ESPRESSO input file:
```
&SYSTEM
  ibrav = 0, nat = 5, ntyp = 4
/
ATOMIC_SPECIES
K 39.10 K.upf
Tl 204.38 Tl.upf
Ga 69.72 Ga.upf
Cu 63.55 Cu.upf
ATOMIC_POSITIONS angstrom
K 0.0000 0.0000 0.0000
Tl 0.0000 0.0000 3.1200
Ga 2.5286 2.5286 0.0000
Cu 0.0000 2.5286 3.1200
Cu 2.5286 0.0000 3.1200
CELL_PARAMETERS angstrom
5.0572 0.0000 0.0000
0.0000 5.0572 0.0000
0.0000 0.0000 6.2399
```

DOS at the Fermi energy ... 2.89 states/eV per cell
DFT total energy ... -11.125 eV for the cell shown
Formation energy ... 3.56 eV/f.u.
Symmetry ... P4/mmm, No. 123



No. 5
Here is a relaxed Cu2Ag2Mo crystal from the Alexandria database. Energies are from PBE-GGA. Values from VASP.

Quantum ESPRESSO input file:
```
&SYSTEM
  ibrav = 0, nat = 10, ntyp = 3
/
ATOMIC_SPECIES
Cu 63.55 Cu.upf
Ag 107.87 Ag.upf
Mo 95.94 Mo.upf
ATOMIC_POSITIONS angstrom
Cu 0.8879 2.8536 0.0000
Cu 2.8536 6.5951 0.0000
Cu 4.6294 0.8879 0.0000
Cu 6.5951 4.6294 0.0000
Ag 1.3374 5.0789 1.3662
Ag 2.4041 1.3374 1.3662
Ag 5.0789 6.1456 1.3662
Ag 6.1456 2.4041 1.3662
Mo 0.0000 0.0000 0.0000
Mo 3.7415 3.7415 0.0000
CELL_PARAMETERS angstrom
7.4830 0.0000 0.0000
0.0000 7.4830 0.0000
0.0000 0.0000 2.7323
```

DOS at the Fermi energy ... 6.66 states/eV per cell
DFT total energy ... -44.553 eV for the cell shown
Formation energy ... 2.45 eV/f.u.
Energy above the lowest structure with this stoichiometry ... 0.0000 eV/atom
Symmetry ... P4/mbm, No. 127



No. 6
Here is a relaxed AcLaSiAg crystal from the Alexandria database. Energies are from PBE-GGA. Values from VASP.

Quantum ESPRESSO input file:
```
&SYSTEM
  ibrav = 0, nat = 4, ntyp = 4
/
ATOMIC_SPECIES
Ac 227.00 Ac.upf
La 138.91 La.upf
Si 28.09 Si.upf
Ag 107.87 Ag.upf
ATOMIC_POSITIONS angstrom
Ac 0.0000 0.0000 0.0000
La 3.8335 3.8335 3.8335
Si 1.9167 1.9167 1.9167
Ag 5.7502 5.7502 5.7502
CELL_PARAMETERS angstrom
0.0000 3.8335 3.8335
3.8335 0.0000 3.8335
3.8335 3.8335 0.0000
```

DOS at the Fermi energy ... 4.52 states/eV per cell
DFT total energy ... -18.799 eV for the cell shown
Symmetry ... F-43m, No. 216
ΔE_f (raw) ... -0.372 eV per atom